1.
Here is a relaxed LiAcAl crystal from Alexandria via LeMat-Bulk. Energies are from PBE.

Computed properties:
Space-group type: Imma (74)
ρ (g cm⁻³): 5.7
E above lowest polymorph (meV/atom): 0
E_form (eV per atom): -0.1611
DOS at the Fermi energy (states/eV per cell): 9.163
Spin magnetization (μB per atom): 0.000

Cell: 5.9558 6.1505 8.3702 Å, 90.00 90.00 90.00°
Atoms (fractional coordinates):
Li 0.2500 0.2500 0.2500
Li 0.2500 0.7500 0.7500
Li 0.7500 0.2500 0.2500
Li 0.7500 0.7500 0.7500
Ac 0.0000 0.2500 0.6341
Ac 0.0000 0.7500 0.3659
Ac 0.5000 0.2500 0.8659
Ac 0.5000 0.7500 0.1341
Al 0.0000 0.0000 0.0000
Al 0.0000 0.5000 0.0000
Al 0.5000 0.0000 0.5000
Al 0.5000 0.5000 0.5000

=====

2.
Here is a relaxed Re3Si4 crystal from Alexandria via LeMat-Bulk. Energies are from PBE.

Computed properties:
Space-group type: P6/mmm (191)
ρ (g cm⁻³): 10.7
Energy relative to the elements, uncorrected (meV/atom): 407.1
DOS at the Fermi energy (states/eV per cell): 6.887
Spin magnetization (μB per atom): 0.000

Cell: 5.2326 5.2326 4.3914 Å, 90.00 90.00 120.00°
Atoms (fractional coordinates):
Re 0.0000 0.5000 0.0000
Re 0.5000 0.0000 0.0000
Re 0.5000 0.5000 0.0000
Si 0.0000 0.0000 0.2483
Si 0.0000 0.0000 0.7517
Si 0.3333 0.6667 0.5000
Si 0.6667 0.3333 0.5000

=====

3.
Here is a relaxed Na2SI2 crystal from Alexandria via LeMat-Bulk. Energies are from PBE.

Computed properties:
Space-group type: I4/mmm (139)
ρ (g cm⁻³): 3.2
E above lowest polymorph (meV/atom): 0
Energy relative to the elements, uncorrected (meV/atom): -636.8
DOS at the Fermi energy (states/eV per cell): 0.000
Spin magnetization (μB per atom): 0.000

Cell: 6.1695 6.1695 9.1690 Å, 90.00 90.00 90.00°
Atoms (fractional coordinates):
Na 0.0000 0.5000 0.2500
Na 0.0000 0.5000 0.7500
Na 0.5000 0.0000 0.2500
Na 0.5000 0.0000 0.7500
S 0.0000 0.0000 0.0000
S 0.5000 0.5000 0.5000
I 0.0000 0.0000 0.2994
I 0.0000 0.0000 0.7006
I 0.5000 0.5000 0.2006
I 0.5000 0.5000 0.7994

=====

4.
Here is a relaxed ScNiP4 crystal from Alexandria via LeMat-Bulk. Energies are from PBE.

Computed properties:
Space-group type: F-43m (216)
ρ (g cm⁻³): 4.3
E_form (eV per atom): 0.1565
DOS at the Fermi energy (states/eV per cell): 3.769
Spin magnetization (μB per atom): 0.000

Cell: 5.0017 5.0017 5.0017 Å, 60.00 60.00 60.00°
Atoms (fractional coordinates):
Sc 0.0000 0.0000 0.0000
Ni 0.7500 0.7500 0.7500
P 0.3782 0.3782 0.3782
P 0.3782 0.3782 0.8654
P 0.3782 0.8654 0.3782
P 0.8654 0.3782 0.3782

=====

5.
Here is a relaxed BeCrFe2 crystal from Alexandria via LeMat-Bulk. Energies are from PBE.

Computed properties:
Space-group type: Cmmm (65)
ρ (g cm⁻³): 6.8
E_form (eV per atom): 0.0675
DOS at the Fermi energy (states/eV per cell): 7.032
Spin magnetization (μB per atom): 0.587

Cell: 4.9831 6.8152 2.4849 Å, 90.00 90.00 90.00°
Atoms (fractional coordinates):
Be 0.0000 0.0000 0.0000
Be 0.5000 0.5000 0.0000
Cr 0.0000 0.5000 0.0000
Cr 0.5000 0.0000 0.0000
Fe 0.2500 0.2500 0.5000
Fe 0.2500 0.7500 0.5000
Fe 0.7500 0.2500 0.5000
Fe 0.7500 0.7500 0.5000

=====

6.
Here is a relaxed In3SeS3 crystal from Alexandria via LeMat-Bulk. Energies are from PBE.

Computed properties:
Space-group type: Cmcm (63)
ρ (g cm⁻³): 4.3
E above lowest polymorph (meV/atom): 78
Energy relative to the elements, uncorrected (meV/atom): -409.0
DOS at the Fermi energy (states/eV per cell): 5.192
Spin magnetization (μB per atom): 0.000

Cell: 9.1068 9.1068 5.6510 Å, 90.00 90.00 120.04°
Atoms (fractional coordinates):
In 0.1629 0.8371 0.7500
In 0.1635 0.3264 0.7500
In 0.3264 0.1635 0.2500
In 0.6736 0.8365 0.7500
In 0.8365 0.6736 0.2500
In 0.8371 0.1629 0.2500
Se 0.3331 0.6669 0.7500
Se 0.6669 0.3331 0.2500
S 0.1615 0.8385 0.2500
S 0.1621 0.3233 0.2500
S 0.3233 0.1621 0.7500
S 0.6767 0.8379 0.2500
S 0.8379 0.6767 0.7500
S 0.8385 0.1615 0.7500

=====

7.
Here is a relaxed Dy2NpZn2Rh5 crystal from Alexandria via LeMat-Bulk. Energies are from PBE.

Computed properties:
Space-group type: P4/mbm (127)
ρ (g cm⁻³): 11.4
E_form (eV per atom): -0.6200
DOS at the Fermi energy (states/eV per cell): 24.378
Spin magnetization (μB per atom): 0.248

Cell: 9.7842 9.7842 3.6824 Å, 90.00 90.00 90.00°
Atoms (fractional coordinates):
Dy 0.1693 0.3307 0.0000
Dy 0.3307 0.8307 0.0000
Dy 0.6693 0.1693 0.0000
Dy 0.8307 0.6693 0.0000
Np 0.0000 0.0000 0.0000
Np 0.5000 0.5000 0.0000
Zn 0.1257 0.6256 0.0000
Zn 0.3744 0.1257 0.0000
Zn 0.6256 0.8744 0.0000
Zn 0.8744 0.3744 0.0000
Rh 0.0000 0.5000 0.5000
Rh 0.0690 0.7984 0.5000
Rh 0.2016 0.0690 0.5000
Rh 0.2984 0.5690 0.5000
Rh 0.4310 0.2984 0.5000
Rh 0.5000 0.0000 0.5000
Rh 0.5690 0.7016 0.5000
Rh 0.7016 0.4310 0.5000
Rh 0.7984 0.9310 0.5000
Rh 0.9310 0.2016 0.5000

=====

Question: Look up the DOS at the Fermi energy of the second one.
Answer: 6.887 states/eV per cell

=====

Question: Which value of ρ does entry 5 give?
Answer: 6.8 g cm⁻³

=====

Question: Among the records above, which one has the lowest DOS at the Fermi energy?
Answer: Na2SI2